Density functional theory data (GGA+U) for crystalline Li2Ac3MnO8 at its relaxed geometry.

mass density	7.73	g cm⁻³
VASP energy	-97.320	eV for the cell shown
magnetic moment	4.02	μB per cell

a = 5.5553 Å, b = 5.5553 Å, c = 7.0532 Å
α = 90.00°, β = 90.00°, γ = 120.00°
Closest atoms and distances in Å follow each position.
Fractional coordinates of all 14 atoms:
Li  0.3333  0.6667  0.2072  4 O 1.79-1.90
Li  0.6667  0.3333  0.7928  4 O 1.79-1.90
Ac  0.3333  0.6667  0.6372  1 O 2.23
Ac  0.6667  0.3333  0.3628  1 O 2.23
Ac  0.0000  0.0000  0.0000  6 O 2.81
Mn  0.0000  0.0000  0.5000  6 O 1.92
O  0.3333  0.6667  0.9527  1 Li 1.79
O  0.6667  0.3333  0.0473  1 Li 1.79
O  0.1586  0.8414  0.3341  1 Li 1.90, 1 Mn 1.92
O  0.8414  0.1586  0.6659  1 Li 1.90, 1 Mn 1.92
O  0.1586  0.3172  0.3341  1 Li 1.90, 1 Mn 1.92
O  0.8414  0.6828  0.6659  1 Li 1.90, 1 Mn 1.92
O  0.6828  0.8414  0.3341  1 Li 1.90, 1 Mn 1.92
O  0.3172  0.1586  0.6659  1 Li 1.90, 1 Mn 1.92